# K2CaCd2, optimized geometry, DFT PBE
# ΔE to the lowest computed polymorph = 0.139 eV per atom
# formation energy from the elements = 105 meV per atom
data_K2CaCd2
_cell_length_a 10.0753
_cell_length_b 10.0753
_cell_length_c 3.7835
_cell_angle_alpha 90.00
_cell_angle_beta 90.00
_cell_angle_gamma 90.00
_space_group_name_H-M_alt 'P 4/m b m'
_space_group_IT_number 127
_space_group_name_Hall '-P 4 2ab'
loop_
_atom_site_label
_atom_site_type_symbol
_atom_site_fract_x
_atom_site_fract_y
_atom_site_fract_z
K1 K 0.1261 0.3739 0.0000
Ca1 Ca 0.0000 0.0000 0.0000
Cd1 Cd 0.1758 0.6758 0.5000